A plane-wave DFT calculation with PBEsol was carried out for an optimized crystal structure of ZrCo2CuO.

Computed properties:
Size of the total moment ... 1.1 μB per cell
ρ ... 8.04 g/cm3
Raw total energy ... -6.955 eV per atom
Raw formation energy ... -0.125 eV/atom

a b c (Å): 3.8956 3.8956 3.9275
angles (deg): 90.00 90.00 90.00
With the nearest neighbours (Å) after each atom.
Positions (direct):
Zr  0.0000  0.0000  0.0000  4 Cu 2.75, 8 Co 2.77
Co  0.0000  0.5000  0.5000  2 O 1.95
Co  0.5000  0.0000  0.5000  2 O 1.95
Cu  0.5000  0.5000  0.0000  2 O 1.96
O  0.5000  0.5000  0.5000  4 Co 1.95, 2 Cu 1.96